No. 1
Computed, not measured: an optimized crystal structure of CrBPAuI at the PBE level of DFT.

Computed properties:
- energy relative to the lowest polymorph listed for this composition (eV per atom) = 0.060
- V (Å³/atom) = 19.6
- raw formation energy (meV per atom) = 172.4

abc: 3.628 3.267 8.259
angles: 90.00 90.08 90.00
Last column: magnetic moment on the atom in μB.
Atoms (fractional coordinates):
I 0.186 0.000 0.747  -0.04
Cr 0.185 0.000 0.079  2.51
B 0.686 0.000 0.250  -0.05
Au 0.187 0.000 0.407  -0.03
P 0.685 0.500 0.115  -0.06

No. 2
Computed, not measured: an optimized crystal structure of K4B9Se9 at the PBE level of DFT.

Computed properties:
- V (Å³/atom) = 25.5
- raw formation energy (meV per atom) = -579.2

abc: 22.989 22.989 10.054
angles: 83.16 83.16 137.87
Atoms (fractional coordinates):
K 0.745 0.601 0.079
K 0.865 0.144 0.002
K 0.447 0.082 0.092
K 0.789 0.177 0.490
K 0.168 0.168 0.384
K 0.057 0.253 0.524
K 0.395 0.248 0.962
K 0.913 0.388 0.789
K 0.723 0.899 0.518
K 0.899 0.723 0.518
K 0.612 0.612 0.575
K 0.248 0.395 0.963
K 0.494 0.494 0.019
K 0.177 0.788 0.490
K 0.601 0.745 0.079
K 0.388 0.912 0.789
K 0.406 0.406 0.457
K 0.081 0.632 0.188
K 0.253 0.056 0.523
K 0.082 0.447 0.093
K 0.848 0.521 0.902
K 0.144 0.865 0.002
K 0.632 0.081 0.188
K 0.521 0.848 0.903
B 0.671 0.410 0.481
B 0.919 0.600 0.370
B 0.820 0.983 0.854
B 0.555 0.225 0.630
B 0.622 0.132 0.751
B 0.345 0.739 0.457
B 0.910 0.977 0.038
B 0.808 0.319 0.228
B 0.626 0.335 0.648
B 0.297 0.557 0.531
B 0.180 0.017 0.148
B 0.089 0.089 0.856
B 0.726 0.726 0.174
B 0.662 0.485 0.697
B 0.042 0.376 0.627
B 0.977 0.910 0.038
B 0.408 0.740 0.542
B 0.306 0.672 0.345
B 0.335 0.626 0.648
B 0.486 0.662 0.697
B 0.225 0.554 0.630
B 0.017 0.180 0.148
B 0.410 0.671 0.481
B 0.911 0.911 0.149
B 0.027 0.985 0.143
B 0.023 0.090 0.965
B 0.626 0.231 0.516
B 0.672 0.306 0.345
B 0.740 0.345 0.457
B 0.347 0.629 0.357
B 0.232 0.558 0.451
B 0.985 0.027 0.143
B 0.319 0.808 0.228
B 0.741 0.417 0.363
B 0.231 0.626 0.517
B 0.376 0.042 0.626
B 0.667 0.293 0.637
B 0.090 0.023 0.965
B 0.132 0.622 0.751
B 0.293 0.667 0.637
B 0.558 0.231 0.451
B 0.905 0.905 0.975
B 0.311 0.475 0.339
B 0.094 0.094 0.029
B 0.558 0.297 0.530
B 0.629 0.347 0.356
B 0.417 0.741 0.363
B 0.276 0.276 0.834
B 0.015 0.973 0.861
B 0.740 0.408 0.541
B 0.973 0.015 0.861
B 0.983 0.820 0.854
B 0.475 0.311 0.339
B 0.600 0.919 0.370
Se 0.271 0.452 0.545
Se 0.590 0.039 0.881
Se 0.048 0.195 0.944
Se 0.035 0.727 0.320
Se 0.025 0.924 0.717
Se 0.542 0.857 0.228
Se 0.369 0.844 0.389
Se 0.954 0.806 0.058
Se 0.694 0.513 0.489
Se 0.367 0.589 0.209
Se 0.445 0.115 0.424
Se 0.614 0.372 0.811
Se 0.603 0.603 0.246
Se 0.124 0.599 0.564
Se 0.677 0.243 0.800
Se 0.858 0.542 0.228
Se 0.710 0.291 0.174
Se 0.434 0.105 0.767
Se 0.292 0.390 0.266
Se 0.372 0.614 0.811
Se 0.206 0.206 0.706
Se 0.796 0.796 0.301
Se 0.974 0.739 0.792
Se 0.115 0.444 0.424
Se 0.739 0.974 0.793
Se 0.213 0.213 0.039
Se 0.861 0.293 0.131
Se 0.293 0.861 0.131
Se 0.924 0.025 0.717
Se 0.390 0.292 0.266
Se 0.291 0.710 0.174
Se 0.452 0.271 0.544
Se 0.917 0.255 0.688
Se 0.974 0.076 0.286
Se 0.727 0.035 0.320
Se 0.599 0.124 0.565
Se 0.039 0.590 0.881
Se 0.105 0.434 0.767
Se 0.684 0.569 0.781
Se 0.857 0.521 0.568
Se 0.256 0.917 0.687
Se 0.785 0.784 0.968
Se 0.806 0.954 0.058
Se 0.076 0.974 0.286
Se 0.569 0.684 0.781
Se 0.844 0.369 0.389
Se 0.513 0.694 0.489
Se 0.262 0.027 0.208
Se 0.195 0.048 0.944
Se 0.243 0.677 0.800
Se 0.027 0.262 0.209
Se 0.589 0.367 0.208
Se 0.399 0.399 0.777
Se 0.521 0.857 0.568

No. 3
Computed, not measured: an optimized crystal structure of K3Ce2Br8 at the PBE level of DFT.

Computed properties:
- V (Å³/atom) = 42.6
- raw formation energy (meV per atom) = -1711.2

abc: 7.912 9.331 9.331
angles: 57.05 75.27 75.27
Last column: magnetic moment on the atom in μB.
Atoms (fractional coordinates):
K 0.500 0.000 0.000  0.00
K 0.000 0.261 0.739  0.00
K 0.000 0.739 0.261  0.00
Ce 0.979 0.251 0.251  1.31
Ce 0.021 0.749 0.749  1.31
Br 0.790 0.640 0.640  -0.01
Br 0.210 0.360 0.360  -0.01
Br 0.774 0.124 0.124  0.00
Br 0.226 0.876 0.876  0.00
Br 0.778 0.618 0.095  -0.01
Br 0.778 0.095 0.618  -0.01
Br 0.222 0.905 0.382  -0.01
Br 0.222 0.382 0.905  -0.01

No. 4
Computed, not measured: an optimized crystal structure of Mn3AlH at the PBE level of DFT.

Computed properties:
- V (Å³/atom) = 10.9
- calculated total energy (eV/atom) = -6.720

abc: 4.919 4.919 5.704
angles: 64.46 64.46 90.00
Last column: magnetic moment on the atom in μB.
Atoms (fractional coordinates):
H 0.000 0.000 0.000  -0.02
H 0.250 0.750 0.500  -0.02
Mn 0.622 0.865 0.270  2.14
Mn 0.135 0.378 0.730  2.14
Mn 0.135 0.892 0.730  2.14
Mn 0.108 0.865 0.270  2.14
Mn 0.384 0.384 0.232  -1.14
Mn 0.616 0.616 0.768  -1.14
Al 0.605 0.105 0.790  -0.03
Al 0.895 0.395 0.210  -0.03

No. 5
Computed, not measured: an optimized crystal structure of Sc2MnCdN at the PBE level of DFT.

Computed properties:
- V (Å³/atom) = 15.6
- raw formation energy (meV per atom) = -730.7

abc: 4.598 4.598 3.682
angles: 90.00 90.00 90.00
Atoms (fractional coordinates):
Sc 0.000 0.500 0.000
Sc 0.500 0.000 0.000
N 0.000 0.000 0.000
Mn 0.000 0.000 0.500
Cd 0.500 0.500 0.500

No. 6
Computed, not measured: an optimized crystal structure of LiCaGaPt at the PBE level of DFT.

Computed properties:
- energy relative to the lowest polymorph listed for this composition (eV per atom) = 0.116
- V (Å³/atom) = 18.2
- formation energy from the elements (meV/atom) = -592

abc: 4.686 4.686 4.686
angles: 60.00 60.00 60.00
Atoms (fractional coordinates):
Ca 0.250 0.250 0.250
Ga 0.750 0.750 0.750
Pt 0.000 0.000 0.000
Li 0.500 0.500 0.500

No. 7
Computed, not measured: an optimized crystal structure of K2H12RuS2O14 at the PBE level of DFT.

Computed properties:
- V (Å³/atom) = 10.9
- calculated total energy (eV/atom) = -5.400

abc: 6.239 8.987 12.432
angles: 90.00 90.00 104.63
Last column: magnetic moment on the atom in μB.
Atoms (fractional coordinates):
K 0.652 0.361 0.847  0.00
K 0.348 0.139 0.347  0.00
K 0.348 0.639 0.153  0.00
K 0.652 0.861 0.653  0.00
H 0.656 0.602 0.439  0.00
H 0.344 0.898 0.939  0.00
H 0.001 0.639 0.691  0.00
H 0.999 0.861 0.191  0.00
H 0.999 0.361 0.309  0.00
H 0.001 0.139 0.809  0.00
H 0.094 0.753 0.377  0.00
H 0.906 0.747 0.877  0.00
H 0.906 0.247 0.623  0.00
H 0.094 0.253 0.123  0.00
H 0.324 0.718 0.412  0.00
H 0.676 0.782 0.912  0.00
H 0.676 0.282 0.588  0.00
H 0.324 0.218 0.088  0.00
H 0.344 0.398 0.561  0.00
H 0.656 0.102 0.061  0.00
H 0.671 0.474 0.354  0.00
H 0.329 0.026 0.854  0.00
H 0.926 0.729 0.104  0.00
H 0.074 0.771 0.604  0.00
H 0.671 0.974 0.146  0.00
H 0.329 0.526 0.646  0.00
H 0.926 0.229 0.396  0.00
H 0.074 0.271 0.896  0.00
Ru 0.000 0.500 0.500  0.14
Ru 0.000 0.000 0.000  0.14
S 0.273 0.088 0.636  0.00
S 0.727 0.912 0.364  0.00
S 0.273 0.588 0.864  0.00
S 0.727 0.412 0.136  0.00
O 0.385 0.716 0.937  0.00
O 0.385 0.216 0.563  0.00
O 0.582 0.910 0.268  0.00
O 0.418 0.590 0.768  0.00
O 0.418 0.090 0.732  0.00
O 0.582 0.410 0.232  0.00
O 0.755 0.060 0.423  0.00
O 0.615 0.784 0.437  0.00
O 0.245 0.940 0.577  0.00
O 0.755 0.560 0.077  0.00
O 0.948 0.392 0.171  0.00
O 0.052 0.108 0.671  0.00
O 0.052 0.608 0.829  0.00
O 0.948 0.892 0.329  0.00
O 0.689 0.500 0.432  0.00
O 0.311 0.000 0.932  0.00
O 0.311 0.500 0.568  0.00
O 0.689 0.000 0.068  0.00
O 0.965 0.670 0.618  0.00
O 0.035 0.830 0.118  0.00
O 0.035 0.330 0.382  0.00
O 0.965 0.170 0.882  0.00
O 0.245 0.440 0.923  0.00
O 0.829 0.830 0.886  0.00
O 0.829 0.330 0.614  0.00
O 0.171 0.170 0.114  0.00
O 0.615 0.284 0.063  0.00
O 0.171 0.670 0.386  0.00

No. 8
Computed, not measured: an optimized crystal structure of Np3Ag5S12 at the PBE level of DFT.

Computed properties:
- V (Å³/atom) = 21.9
- raw formation energy (meV per atom) = -441.9

abc: 13.151 13.151 13.151
angles: 109.47 109.47 109.47
Last column: magnetic moment on the atom in μB.
Atoms (fractional coordinates):
Np 0.750 0.375 0.125  2.99
Np 0.875 0.750 0.125  2.99
Np 0.375 0.750 0.625  2.99
Np 0.250 0.125 0.375  2.99
Np 0.875 0.125 0.250  2.99
Np 0.375 0.625 0.250  2.99
Np 0.625 0.375 0.750  2.99
Np 0.125 0.875 0.750  2.99
Np 0.750 0.875 0.625  2.99
Np 0.625 0.250 0.375  2.99
Np 0.125 0.250 0.875  2.99
Np 0.250 0.625 0.875  2.99
Ag 0.125 0.375 0.250  -0.07
Ag 0.000 0.500 0.000  0.00
Ag 0.000 0.000 0.000  0.00
Ag 0.375 0.250 0.125  -0.07
Ag 0.500 0.000 0.500  0.00
Ag 0.500 0.500 0.000  0.00
Ag 0.125 0.750 0.375  -0.07
Ag 0.750 0.125 0.875  -0.07
Ag 0.750 0.625 0.375  -0.07
Ag 0.375 0.125 0.750  -0.07
Ag 0.625 0.875 0.250  -0.07
Ag 0.500 0.500 0.500  0.00
Ag 0.500 0.000 0.000  0.00
Ag 0.000 0.000 0.500  0.00
Ag 0.250 0.375 0.625  -0.07
Ag 0.250 0.875 0.125  -0.07
Ag 0.000 0.500 0.500  0.00
Ag 0.875 0.250 0.625  -0.07
Ag 0.625 0.750 0.875  -0.07
Ag 0.875 0.625 0.750  -0.07
S 0.724 0.137 0.054  -0.12
S 0.330 0.554 0.417  -0.12
S 0.946 0.363 0.276  -0.12
S 0.554 0.224 0.137  -0.12
S 0.587 0.724 0.670  -0.12
S 0.946 0.583 0.170  -0.12
S 0.330 0.776 0.413  -0.12
S 0.083 0.913 0.137  -0.12
S 0.583 0.946 0.670  -0.12
S 0.724 0.587 0.170  -0.12
S 0.776 0.446 0.363  -0.12
S 0.830 0.917 0.054  -0.12
S 0.137 0.724 0.554  -0.12
S 0.363 0.417 0.087  -0.12
S 0.087 0.917 0.363  -0.12
S 0.413 0.137 0.583  -0.12
S 0.087 0.170 0.224  -0.12
S 0.446 0.670 0.083  -0.12
S 0.830 0.913 0.276  -0.12
S 0.137 0.413 0.083  -0.12
S 0.363 0.946 0.776  -0.12
S 0.583 0.637 0.413  -0.12
S 0.917 0.830 0.554  -0.12
S 0.776 0.330 0.913  -0.12
S 0.417 0.363 0.587  -0.12
S 0.083 0.170 0.446  -0.12
S 0.224 0.670 0.087  -0.12
S 0.170 0.087 0.724  -0.12
S 0.637 0.054 0.224  -0.12
S 0.863 0.587 0.917  -0.12
S 0.554 0.330 0.917  -0.12
S 0.587 0.863 0.417  -0.12
S 0.913 0.830 0.776  -0.12
S 0.913 0.083 0.637  -0.12
S 0.863 0.276 0.446  -0.12
S 0.170 0.083 0.946  -0.12
S 0.637 0.583 0.913  -0.12
S 0.417 0.054 0.330  -0.12
S 0.276 0.413 0.830  -0.12
S 0.224 0.554 0.637  -0.12
S 0.917 0.087 0.863  -0.12
S 0.670 0.224 0.587  -0.12
S 0.446 0.776 0.863  -0.12
S 0.054 0.417 0.830  -0.12
S 0.413 0.276 0.330  -0.12
S 0.054 0.637 0.724  -0.12
S 0.670 0.446 0.583  -0.12
S 0.276 0.863 0.946  -0.12

No. 9
Computed, not measured: an optimized crystal structure of YCu2Os at the PBE level of DFT.

Computed properties:
- energy relative to the lowest polymorph listed for this composition (eV per atom) = 0.111
- V (Å³/atom) = 16.2
- formation energy from the elements (meV/atom) = 211

abc: 4.227 2.885 5.512
angles: 74.43 90.00 90.00
Atoms (fractional coordinates):
Cu 0.000 0.177 0.027
Cu 0.500 0.052 0.260
Os 0.000 0.462 0.449
Y 0.500 0.809 0.764

No. 10
Computed, not measured: an optimized crystal structure of TiMn2AsP at the PBE level of DFT.

Computed properties:
- V (Å³/atom) = 17.2
- formation energy from the elements (meV/atom) = 46

abc: 4.305 4.642 4.305
angles: 90.00 90.00 90.00
Last column: magnetic moment on the atom in μB.
Atoms (fractional coordinates):
P 0.000 0.000 0.000  -0.07
As 0.500 0.500 0.500  -0.04
Mn 0.000 0.000 0.500  3.06
Mn 0.500 0.000 0.000  3.10
Ti 0.000 0.500 0.000  -0.25

No. 11
Computed, not measured: an optimized crystal structure of K4HfO4 at the PBE level of DFT.

Computed properties:
- V (Å³/atom) = 21.1
- raw formation energy (meV per atom) = -2116.5

abc: 6.618 6.592 9.926
angles: 71.71 80.75 67.38
Atoms (fractional coordinates):
K 0.770 0.046 0.390
K 0.230 0.954 0.610
K 0.730 0.604 0.173
K 0.270 0.396 0.827
K 0.239 0.760 0.019
K 0.761 0.240 0.981
K 0.268 0.518 0.439
K 0.732 0.482 0.561
Hf 0.278 0.156 0.244
Hf 0.722 0.844 0.756
O 0.037 0.293 0.371
O 0.963 0.707 0.629
O 0.544 0.153 0.644
O 0.456 0.847 0.356
O 0.464 0.345 0.194
O 0.536 0.655 0.806
O 0.151 0.153 0.079
O 0.849 0.847 0.921

No. 12
Computed, not measured: an optimized crystal structure of Tc2PS at the PBE level of DFT.

Computed properties:
- energy relative to the lowest polymorph listed for this composition (eV per atom) = 0.000
- V (Å³/atom) = 13.0
- raw formation energy (meV per atom) = -166.3

abc: 4.193 4.193 4.193
angles: 60.00 60.00 60.00
Atoms (fractional coordinates):
P 0.000 0.000 0.000
S 0.500 0.500 0.500
Tc 0.250 0.250 0.250
Tc 0.750 0.750 0.750